# 1
The following is a DFT calculation (PBE) of a geometry-optimized LaRh structure.

Structure (CIF):
```
data_LaRh
_cell_length_a 4.4285
_cell_length_b 4.4285
_cell_length_c 5.9030
_cell_angle_alpha 90.00
_cell_angle_beta 90.00
_cell_angle_gamma 120.00
_space_group_name_H-M_alt 'P 63/m m c'
_space_group_IT_number 194
_space_group_name_Hall '-P 6c 2c'
loop_
_atom_site_label
_atom_site_type_symbol
_atom_site_fract_x
_atom_site_fract_y
_atom_site_fract_z
_atom_site_occupancy
La1 La 0.3333 0.6667 0.2500 1
Rh1 Rh 0.0000 0.0000 0.0000 1
```

- Total magnetization: 0.00 μB per formula unit
- Energy of formation from the pure elements: -780 meV/atom
- V: 100 Å³/cell

=====

# 2
The following is a DFT calculation (PBE) of a geometry-optimized K3Tm3BiSe8 structure.

Structure (CIF):
```
data_K3Tm3BiSe8
_cell_length_a 8.2649
_cell_length_b 8.2649
_cell_length_c 23.4810
_cell_angle_alpha 90.00
_cell_angle_beta 90.00
_cell_angle_gamma 120.00
_space_group_name_H-M_alt 'R -3 m'
_space_group_IT_number 166
_space_group_name_Hall '-R 3 2"'
loop_
_atom_site_label
_atom_site_type_symbol
_atom_site_fract_x
_atom_site_fract_y
_atom_site_fract_z
_atom_site_occupancy
K1 K 0.0000 0.5000 0.0000 1
Tm1 Tm 0.0000 0.5000 0.5000 1
Bi1 Bi 0.0000 0.0000 0.5000 1
Se1 Se 0.0000 0.0000 0.2339 1
Se2 Se 0.0076 0.5038 0.7654 1
```

- Total magnetization: 0.00 μB per formula unit
- V: 1389 Å³/cell
- E_form (uncorrected): -1430 meV/atom

=====

# 3
The following is a DFT calculation (PBE) of a geometry-optimized NdMgP structure.

Structure (CIF):
```
data_NdMgP
_cell_length_a 4.9348
_cell_length_b 4.9348
_cell_length_c 25.1611
_cell_angle_alpha 90.00
_cell_angle_beta 90.00
_cell_angle_gamma 120.00
_space_group_name_H-M_alt 'R -3 m'
_space_group_IT_number 166
_space_group_name_Hall '-R 3 2"'
loop_
_atom_site_label
_atom_site_type_symbol
_atom_site_fract_x
_atom_site_fract_y
_atom_site_fract_z
_atom_site_occupancy
Nd1 Nd 0.0000 0.0000 0.1057 1
Mg1 Mg 0.0000 0.0000 0.3181 1
P1 P 0.0000 0.0000 0.2177 1
```

- Total magnetization: 0.00 μB per formula unit
- Energy of formation from the pure elements: -678 meV/atom
- V: 531 Å³/cell

=====

# 4
The following is a DFT calculation (PBE) of a geometry-optimized CaRe3Si structure.

Structure (CIF):
```
data_CaRe3Si
_cell_length_a 4.540
_cell_length_b 4.540
_cell_length_c 4.540
_cell_angle_alpha 90.00
_cell_angle_beta 90.00
_cell_angle_gamma 90.00
_space_group_name_H-M_alt 'P m -3 m'
_space_group_IT_number 221
_space_group_name_Hall '-P 4 2 3'
loop_
_atom_site_label
_atom_site_type_symbol
_atom_site_fract_x
_atom_site_fract_y
_atom_site_fract_z
_atom_site_occupancy
Ca1 Ca 0.000 0.000 0.000 1
Re1 Re 0.000 0.500 0.500 1
Si1 Si 0.500 0.500 0.500 1
```

- Total magnetization: 0.00 μB per formula unit
- V: 94 Å³/cell
- Energy above the lowest structure with this stoichiometry: 0.000 eV/atom
- E_form (uncorrected): 999 meV/atom

=====

# 5
The following is a DFT calculation (PBE) of a geometry-optimized Li2AsW structure.

Structure (CIF):
```
data_Li2AsW
_cell_length_a 2.968
_cell_length_b 4.220
_cell_length_c 9.592
_cell_angle_alpha 90.00
_cell_angle_beta 90.00
_cell_angle_gamma 90.00
_space_group_name_H-M_alt 'I m m m'
_space_group_IT_number 71
_space_group_name_Hall '-I 2 2'
loop_
_atom_site_label
_atom_site_type_symbol
_atom_site_fract_x
_atom_site_fract_y
_atom_site_fract_z
_atom_site_occupancy
Li1 Li 0.000 0.000 0.231 1
As1 As 0.000 0.500 0.500 1
W1 W 0.000 0.500 0.000 1
```

- Total magnetization: 0.00 μB per formula unit
- Energy of formation from the pure elements: 108 meV/atom
- V: 120 Å³/cell

=====

# 6
The following is a DFT calculation (PBE) of a geometry-optimized ZrMnRuRh structure.

Structure (CIF):
```
data_ZrMnRuRh
_cell_length_a 6.339
_cell_length_b 6.339
_cell_length_c 6.339
_cell_angle_alpha 90.00
_cell_angle_beta 90.00
_cell_angle_gamma 90.00
_space_group_name_H-M_alt 'F -4 3 m'
_space_group_IT_number 216
_space_group_name_Hall 'F -4 2 3'
loop_
_atom_site_label
_atom_site_type_symbol
_atom_site_fract_x
_atom_site_fract_y
_atom_site_fract_z
_atom_site_occupancy
Zr1 Zr 0.000 0.000 0.000 1
Mn1 Mn 0.000 0.000 0.500 1
Ru1 Ru 0.250 0.250 0.250 1
Rh1 Rh 0.250 0.250 0.750 1
```

- Total magnetization: 4.45 μB per formula unit
- Energy of formation from the pure elements: -397 meV/atom
- V: 255 Å³/cell